1.
# YMnRu

Crystalline YMnRu at its relaxed geometry (GGA-PBE, the Alexandria database).

Lattice parameters (Å, degrees): 3.6842 13.3890 4.5247 90.00 90.00 90.00
With the nearest neighbours (Å) after each atom.
Positions (direct):
Y 0.0000 0.0863 0.2500  6 Ru 2.93-3.19, 4 Mn 2.97-3.06, 2 Y 3.23
Y 0.0000 0.9137 0.7500  6 Ru 2.93-3.19, 4 Mn 2.97-3.06, 2 Y 3.23
Y 0.5000 0.4137 0.7500  6 Ru 2.93-3.19, 4 Mn 2.97-3.06, 2 Y 3.23
Y 0.5000 0.5863 0.2500  6 Ru 2.93-3.19, 4 Mn 2.97-3.06, 2 Y 3.23
Mn 0.0000 0.2401 0.7500  2 Ru 2.55
Mn 0.0000 0.7599 0.2500  2 Ru 2.55
Mn 0.5000 0.2599 0.2500  2 Ru 2.55
Mn 0.5000 0.7401 0.7500  2 Ru 2.55
Ru 0.0000 0.3915 0.2500  2 Mn 2.55
Ru 0.0000 0.6085 0.7500  2 Mn 2.55
Ru 0.5000 0.1085 0.7500  2 Mn 2.55
Ru 0.5000 0.8915 0.2500  2 Mn 2.55

Energy above the lowest structure with this stoichiometry in eV per atom: 0.195
ΔE_f in meV per atom: 9
N(E_F) in states/eV/cell: 6.91
Calculated density in g/cm³: 7.29

=====

2.
# Y4MnRu

Crystalline Y4MnRu at its relaxed geometry (GGA-PBE, the Alexandria database).

Lattice parameters (Å, degrees): 6.0428 6.0428 6.0428 60.00 60.00 60.00
With the nearest neighbours (Å) after each atom.
Positions (direct):
Y 0.3756 0.3756 0.3756  6 Y 3.01-3.03
Y 0.3756 0.3756 0.8733  6 Y 3.01-3.03
Y 0.3756 0.8733 0.3756  6 Y 3.01-3.03
Y 0.8733 0.3756 0.3756  6 Y 3.01-3.03
Mn 0.0000 0.0000 0.0000  12 Y 3.54, 4 Ru 3.70
Ru 0.7500 0.7500 0.7500  12 Y 3.54, 4 Mn 3.70

ΔE_f in meV per atom: 904
N(E_F) in states/eV/cell: 5.11
Calculated density in g/cm³: 5.45